1.
Material: AcNd2Cu2Si2
Method: DFT, GGA-PBE
State: optimized geometry

The space group is R-3m (No. 166, hexagonal axes) and the conventional cell measures 4.3034, 4.3034 and 30.7941 Å, with angles of 90.00, 90.00 and 120.00 degrees. The inequivalent atoms are Ac at (0.0000, 0.0000, 0.0000), Nd at (0.0000, 0.0000, 0.1280), Cu at (0.0000, 0.0000, 0.4058) and Si at (0.0000, 0.0000, 0.2599).

The value obtained for the calculated density is 7.048 Mg/m³. As for the formation energy from raw total energies: -0.44 eV/atom.

***

2.
Material: Ac3Pr2Ni2
Method: DFT, GGA-PBE
State: optimized geometry

The space group is C2/m (No. 12) and the conventional cell measures 12.8047, 3.9497 and 9.4230 Å, with angles of 90.00, 111.03 and 90.00 degrees. The inequivalent atoms are Ac at (0.0000, 0.0000, 0.0000), Ac at (0.1173, 0.0000, 0.4235), Pr at (0.1782, 0.5000, 0.8094) and Ni at (0.1624, 0.5000, 0.2054).

The value obtained for the calculated density is 8.065 Mg/m³. The calculation puts the formation energy at -0.13 eV/atom.

***

3.
Material: SrTaRu2
Method: DFT, GGA-PBE
State: optimized geometry

The space group is Imm2 (No. 44) and the conventional cell measures 3.0324, 4.9039 and 10.3799 Å, with angles of 90.00, 90.00 and 90.00 degrees. The inequivalent atoms are Sr at (0.0000, 0.0000, 0.0000), Ta at (0.0000, 0.5000, 0.7919), Ru at (0.0000, 0.0000, 0.4972) and Ru at (0.0000, 0.5000, 0.2130).

The value obtained for the calculated density is 10.128 Mg/m³. The calculation puts the formation energy at 0.50 eV/atom. Its energy above the lowest structure with this stoichiometry is 0.504 eV per atom.

***

4.
Material: Ba3Sn2Bi4
Method: DFT, GGA-PBE
State: optimized geometry

The space group is C2/c (No. 15) and the conventional cell measures 13.7888, 11.4171 and 9.7477 Å, with angles of 90.00, 107.91 and 90.00 degrees. The inequivalent atoms are Ba at (0.0000, 0.0529, 0.2500), Ba at (0.1502, 0.3472, 0.6244), Sn at (0.1456, 0.2035, 0.9755), Bi at (0.1044, 0.3526, 0.2139) and Bi at (0.1863, 0.0422, 0.5890).

The value obtained for the calculated density is 6.757 Mg/m³. The calculation puts the formation energy at -0.59 eV/atom. Its energy above the lowest structure with this stoichiometry is 0.000 eV per atom.

***

5.
Material: Y8InHg2
Method: DFT, GGA-PBE
State: optimized geometry

The space group is Immm (No. 71) and the conventional cell measures 5.0535, 8.4552 and 14.9440 Å, with angles of 90.00, 90.00 and 90.00 degrees. The inequivalent atoms are Y at (0.0000, 0.0000, 0.1365), Y at (0.0000, 0.2188, 0.3380), Y at (0.0000, 0.3109, 0.0000), In at (0.0000, 0.5000, 0.5000) and Hg at (0.0000, 0.5000, 0.1991).

The value obtained for the calculated density is 6.383 Mg/m³. The calculation puts the formation energy at -0.20 eV/atom.

***

6.
Material: AlPO3
Method: DFT, GGA-PBE
State: optimized geometry

The space group is Pm-3m (No. 221) and the conventional cell measures 3.6174, 3.6174 and 3.6174 Å, with angles of 90.00, 90.00 and 90.00 degrees. The inequivalent atoms are Al at (0.0000, 0.0000, 0.0000), P at (0.5000, 0.5000, 0.5000) and O at (0.0000, 0.0000, 0.5000).

The value obtained for the calculated density is 3.717 Mg/m³. As for the formation energy from raw total energies: -1.13 eV/atom.

***

Here are the calculated calculated total energy numbers, same order: -5.106; -4.905; -7.520; -3.848; -5.209; -5.934 (eV per atom).